! NpPa3Ge5 PBE optimized geometry; values from VASP
&SYSTEM
  ibrav = 0, nat = 18, ntyp = 3
/
ATOMIC_SPECIES
Ge 72.64 Ge.upf
Pa 231.04 Pa.upf
Np 237.00 Np.upf
ATOMIC_POSITIONS angstrom
Ge -0.701 -1.530 2.364
Ge 2.292 -2.021 4.071
Ge -2.158 -4.416 5.840
Ge -0.578 -4.927 0.609
Ge 3.823 -4.637 2.363
Ge 0.934 -2.216 -1.625
Ge 0.669 -4.383 3.812
Ge 2.576 -5.182 -0.840
Ge 4.198 -2.819 -0.580
Ge 1.926 -6.127 -4.125
Pa 1.579 -6.536 1.769
Pa -0.573 -1.937 5.263
Pa 1.666 -3.029 1.203
Pa 2.963 -3.418 -3.364
Pa -0.103 -4.925 -2.386
Pa -2.286 -4.010 2.941
Np -3.245 -4.725 -0.518
Np -1.622 -2.362 -0.259
CELL_PARAMETERS angstrom
-3.245 -4.725 -0.518
6.105 -3.618 -5.232
0.385 -1.222 8.723
! N(E_F) = 24.93 states/eV per cell
! Mass density = 11.1 Mg/m³
! Formation energy from the elements = -0.45 eV per atom
! Total DFT energy (no corrections) = -7.62 eV/atom
! M_tot = 0.4077 μB/atom

=====

! NpPa2Ge PBE optimized geometry; values from VASP
&SYSTEM
  ibrav = 0, nat = 4, ntyp = 3
/
ATOMIC_SPECIES
Np 237.00 Np.upf
Pa 231.04 Pa.upf
Ge 72.64 Ge.upf
ATOMIC_POSITIONS angstrom
Np 1.866 1.866 0.000
Pa 0.000 0.000 4.755
Pa 0.000 0.000 1.572
Ge 1.866 1.866 3.163
CELL_PARAMETERS angstrom
3.732 0.000 0.000
0.000 3.732 0.000
0.000 0.000 6.327
! N(E_F) = 9.85 states/eV per cell
! Polymorph energy (0 for the lowest one) = 0.54 eV per formula unit
! Mass density = 14.5 Mg/m³
! Formation energy from the elements = -0.04 eV per atom
! Total DFT energy (no corrections) = -9.18 eV/atom
! M_tot = 1.0139 μB/atom

=====

! Np2PaGe PBE optimized geometry; values from VASP
&SYSTEM
  ibrav = 0, nat = 4, ntyp = 3
/
ATOMIC_SPECIES
Np 237.00 Np.upf
Ge 72.64 Ge.upf
Pa 231.04 Pa.upf
ATOMIC_POSITIONS angstrom
Np 7.413 4.280 3.026
Np 2.471 1.427 1.009
Ge 4.942 2.853 2.017
Pa 0.000 0.000 0.000
CELL_PARAMETERS angstrom
4.942 0.000 0.000
2.471 4.280 0.000
2.471 1.427 4.035
! N(E_F) = 15.01 states/eV per cell
! Polymorph energy (0 for the lowest one) = 1.09 eV per formula unit
! Mass density = 15.1 Mg/m³
! Formation energy from the elements = 0.25 eV per atom
! Total DFT energy (no corrections) = -9.75 eV/atom
! M_tot = 2.0061 μB/atom

=====

! NpPa2Ge PBE optimized geometry; values from VASP
&SYSTEM
  ibrav = 0, nat = 4, ntyp = 3
/
ATOMIC_SPECIES
Pa 231.04 Pa.upf
Ge 72.64 Ge.upf
Np 237.00 Np.upf
ATOMIC_POSITIONS angstrom
Pa -1.142 1.321 1.462
Pa -1.615 -1.596 0.180
Ge -1.037 0.869 -1.595
Np -3.793 0.593 0.048
CELL_PARAMETERS angstrom
-2.074 1.737 -3.189
-3.229 -3.192 0.361
-2.284 2.641 2.924
! N(E_F) = 10.07 states/eV per cell
! Polymorph energy (0 for the lowest one) = 0.00 eV per formula unit
! Mass density = 14.8 Mg/m³
! Formation energy from the elements = -0.18 eV per atom
! Total DFT energy (no corrections) = -9.32 eV/atom
! M_tot = 0.7985 μB/atom

=====

! NpPaReGe PBE optimized geometry; values from VASP
&SYSTEM
  ibrav = 0, nat = 4, ntyp = 4
/
ATOMIC_SPECIES
Np 237.00 Np.upf
Re 186.21 Re.upf
Ge 72.64 Ge.upf
Pa 231.04 Pa.upf
ATOMIC_POSITIONS angstrom
Np -8.602 -1.142 -1.472
Re -2.867 -0.381 -0.491
Ge -5.735 -0.761 -0.981
Pa 0.000 0.000 0.000
CELL_PARAMETERS angstrom
-3.671 1.172 -2.847
-3.410 -3.225 -0.962
-4.389 0.531 1.846
! N(E_F) = 6.82 states/eV per cell
! Mass density = 15.5 Mg/m³
! Formation energy from the elements = 0.11 eV per atom
! Total DFT energy (no corrections) = -9.77 eV/atom
! M_tot = 1.1924 μB/atom

=====

! NpPaGeRh PBE optimized geometry; values from VASP
&SYSTEM
  ibrav = 0, nat = 4, ntyp = 4
/
ATOMIC_SPECIES
Np 237.00 Np.upf
Pa 231.04 Pa.upf
Ge 72.64 Ge.upf
Rh 102.91 Rh.upf
ATOMIC_POSITIONS angstrom
Np 0.000 0.000 0.000
Pa 7.215 4.165 2.945
Ge 2.405 1.388 0.982
Rh 4.810 2.777 1.964
CELL_PARAMETERS angstrom
4.810 0.000 0.000
2.405 4.165 0.000
2.405 1.388 3.927
! N(E_F) = 8.02 states/eV per cell
! Mass density = 13.6 Mg/m³
! Formation energy from the elements = -0.21 eV per atom
! Total DFT energy (no corrections) = -8.81 eV/atom
! M_tot = 1.6471 μB/atom